[1]
# Ti5GaPd4 (PBE-GGA, optimized geometry)
# - energy of formation from the pure elements (meV per atom) = -512
# - N(E_F) (states/eV/f.u.) = 13.47
# - mass density (g/cm³) = 7.81
data_Ti5GaPd4
_chemical_formula_sum 'Ti5 Ga1 Pd4'
_symmetry_space_group_name_H-M 'P m m m'
_symmetry_Int_Tables_number 47
_cell_length_a 2.865
_cell_length_b 3.880
_cell_length_c 14.045
_cell_angle_alpha 90.00
_cell_angle_beta 90.00
_cell_angle_gamma 90.00
loop_
_symmetry_equiv_pos_as_xyz
'x,y,z'
'-x,-y,-z'
'-x,-y,z'
'x,y,-z'
'x,-y,-z'
'-x,y,z'
'-x,y,-z'
'x,-y,z'
loop_
_atom_site_label
_atom_site_fract_x
_atom_site_fract_y
_atom_site_fract_z
Ti1 0.000 0.000 0.000
Ti2 0.000 0.000 0.200
Ti3 0.000 0.000 0.401
Ga1 0.500 0.500 0.500
Pd1 0.500 0.500 0.100
Pd2 0.500 0.500 0.301


[2]
# AlCr4Hg (PBE-GGA, optimized geometry)
# - energy of formation from the pure elements (meV per atom) = 401
# - N(E_F) (states/eV/f.u.) = 7.28
# - mass density (g/cm³) = 8.72
data_AlCr4Hg
_chemical_formula_sum 'Al4 Cr16 Hg4'
_symmetry_space_group_name_H-M 'F -4 3 m'
_symmetry_Int_Tables_number 216
_symmetry_space_group_name_Hall 'F -4 2 3'
_cell_length_a 6.923
_cell_length_b 6.923
_cell_length_c 6.923
_cell_angle_alpha 90.00
_cell_angle_beta 90.00
_cell_angle_gamma 90.00
loop_
_atom_site_label
_atom_site_fract_x
_atom_site_fract_y
_atom_site_fract_z
Al1 0.000 0.000 0.000
Cr1 0.125 0.125 0.375
Hg1 0.250 0.250 0.750


[3]
# Na2Dy2RhO6 (PBE-GGA, optimized geometry)
# - uncorrected formation energy (eV per atom) = -2.174
# - N(E_F) (states/eV/f.u.) = 7.39
# - mass density (g/cm³) = 5.87
data_Na2Dy2RhO6
_chemical_formula_sum 'Na4 Dy4 Rh2 O12'
_symmetry_space_group_name_H-M 'C 1 2/m 1'
_symmetry_Int_Tables_number 12
_cell_length_a 5.732
_cell_length_b 9.917
_cell_length_c 5.873
_cell_angle_alpha 90.00
_cell_angle_beta 104.86
_cell_angle_gamma 90.00
loop_
_symmetry_equiv_pos_as_xyz
'x,y,z'
'-x,-y,-z'
'-x,y,-z'
'x,-y,z'
'x+1/2,y+1/2,z'
'-x+1/2,-y+1/2,-z'
'-x+1/2,y+1/2,-z'
'x+1/2,-y+1/2,z'
loop_
_atom_site_label
_atom_site_fract_x
_atom_site_fract_y
_atom_site_fract_z
Na1 0.000 0.145 0.000
Dy1 0.000 0.337 0.500
Rh1 0.000 0.000 0.500
O1 0.200 0.157 0.694
O2 0.248 0.000 0.298


[4]
# KLa2Ta (PBE-GGA, optimized geometry)
# - energy of formation from the pure elements (meV per atom) = 558
# - N(E_F) (states/eV/f.u.) = 3.12
# - mass density (g/cm³) = 6.02
data_KLa2Ta
_chemical_formula_sum 'K3 La6 Ta3'
_symmetry_space_group_name_H-M 'R -3 m'
_symmetry_Int_Tables_number 166
_symmetry_space_group_name_Hall '-R 3 2"'
_cell_length_a 3.5132
_cell_length_b 3.5132
_cell_length_c 38.5358
_cell_angle_alpha 90.00
_cell_angle_beta 90.00
_cell_angle_gamma 120.00
loop_
_atom_site_label
_atom_site_fract_x
_atom_site_fract_y
_atom_site_fract_z
K1 0.0000 0.0000 0.0000
La1 0.0000 0.0000 0.2312
Ta1 0.0000 0.0000 0.5000


[5]
# Zn8Ga2Au (PBE-GGA, optimized geometry)
# - energy of formation from the pure elements (meV per atom) = 13
# - N(E_F) (states/eV/f.u.) = 2.43
# - mass density (g/cm³) = 7.57
data_Zn8Ga2Au
_chemical_formula_sum 'Zn16 Ga4 Au2'
_symmetry_space_group_name_H-M 'C 1 2/m 1'
_symmetry_Int_Tables_number 12
_cell_length_a 17.523
_cell_length_b 4.118
_cell_length_c 5.462
_cell_angle_alpha 90.00
_cell_angle_beta 106.94
_cell_angle_gamma 90.00
loop_
_symmetry_equiv_pos_as_xyz
'x,y,z'
'-x,-y,-z'
'-x,y,-z'
'x,-y,z'
'x+1/2,y+1/2,z'
'-x+1/2,-y+1/2,-z'
'-x+1/2,y+1/2,-z'
'x+1/2,-y+1/2,z'
loop_
_atom_site_label
_atom_site_fract_x
_atom_site_fract_y
_atom_site_fract_z
Zn1 0.031 0.000 0.315
Zn2 0.106 0.500 0.754
Zn3 0.145 0.500 0.309
Zn4 0.207 0.000 0.129
Ga1 0.191 0.000 0.637
Au1 0.000 0.500 0.000


[6]
# Tl2InSn2Cl7 (PBE-GGA, optimized geometry)
# - uncorrected formation energy (eV per atom) = -0.959
# - N(E_F) (states/eV/f.u.) = 0.00
# - mass density (g/cm³) = 3.81
data_Tl2InSn2Cl7
_chemical_formula_sum 'Tl4 In2 Sn4 Cl14'
_symmetry_space_group_name_H-M 'I m m 2'
_symmetry_Int_Tables_number 44
_cell_length_a 5.581
_cell_length_b 24.662
_cell_length_c 6.383
_cell_angle_alpha 90.00
_cell_angle_beta 90.00
_cell_angle_gamma 90.00
loop_
_symmetry_equiv_pos_as_xyz
'x,y,z'
'-x,-y,z'
'-x,y,z'
'x,-y,z'
'x+1/2,y+1/2,z+1/2'
'-x+1/2,-y+1/2,z+1/2'
'-x+1/2,y+1/2,z+1/2'
'x+1/2,-y+1/2,z+1/2'
loop_
_atom_site_label
_atom_site_fract_x
_atom_site_fract_y
_atom_site_fract_z
Tl1 0.000 0.212 0.000
In1 0.000 0.500 0.430
Sn1 0.000 0.109 0.568
Cl1 0.000 0.000 0.677
Cl2 0.000 0.089 0.181
Cl3 0.000 0.228 0.476
Cl4 0.000 0.399 0.126


[7]
# TlCuPbI4 (PBE-GGA, optimized geometry)
# - uncorrected formation energy (eV per atom) = -0.470
# - N(E_F) (states/eV/f.u.) = 0.00
# - mass density (g/cm³) = 5.96
data_TlCuPbI4
_chemical_formula_sum 'Tl2 Cu2 Pb2 I8'
_symmetry_space_group_name_H-M 'P 1 21/m 1'
_symmetry_Int_Tables_number 11
_cell_length_a 7.346
_cell_length_b 8.319
_cell_length_c 9.422
_cell_angle_alpha 90.00
_cell_angle_beta 107.99
_cell_angle_gamma 90.00
loop_
_symmetry_equiv_pos_as_xyz
'x,y,z'
'-x,-y,-z'
'-x,y+1/2,-z'
'x,-y+1/2,z'
loop_
_atom_site_label
_atom_site_fract_x
_atom_site_fract_y
_atom_site_fract_z
Tl1 0.236 0.250 0.056
Cu1 0.205 0.750 0.313
Pb1 0.218 0.250 0.554
I1 0.010 0.506 0.734
I2 0.432 0.750 0.141
I3 0.445 0.750 0.589


[8]
# Ta2GeHIr (PBE-GGA, optimized geometry)
# - total energy (eV for the cell shown) = -41.12
# - N(E_F) (states/eV/f.u.) = 1.96
# - mass density (g/cm³) = 15.36
data_Ta2GeHIr
_chemical_formula_sum 'Ta2 Ge1 H1 Ir1'
_symmetry_space_group_name_H-M 'P 4/m m m'
_symmetry_Int_Tables_number 123
_symmetry_space_group_name_Hall '-P 4 2'
_cell_length_a 4.076
_cell_length_b 4.076
_cell_length_c 4.085
_cell_angle_alpha 90.00
_cell_angle_beta 90.00
_cell_angle_gamma 90.00
loop_
_atom_site_label
_atom_site_fract_x
_atom_site_fract_y
_atom_site_fract_z
Ta1 0.000 0.500 0.000
Ge1 0.000 0.000 0.500
H1 0.500 0.500 0.000
Ir1 0.500 0.500 0.500


[9]
# Ba2TlCd3 (PBE-GGA, optimized geometry)
# - energy of formation from the pure elements (meV per atom) = -349
# - N(E_F) (states/eV/f.u.) = 5.21
# - mass density (g/cm³) = 6.76
data_Ba2TlCd3
_chemical_formula_sum 'Ba4 Tl2 Cd6'
_symmetry_space_group_name_H-M 'C 1 m 1'
_symmetry_Int_Tables_number 8
_cell_length_a 12.264
_cell_length_b 5.310
_cell_length_c 8.528
_cell_angle_alpha 90.00
_cell_angle_beta 133.75
_cell_angle_gamma 90.00
loop_
_symmetry_equiv_pos_as_xyz
'x,y,z'
'x,-y,z'
'x+1/2,y+1/2,z'
'x+1/2,-y+1/2,z'
loop_
_atom_site_label
_atom_site_fract_x
_atom_site_fract_y
_atom_site_fract_z
Ba1 0.000 0.000 0.000
Ba2 0.089 0.000 0.589
Tl1 0.208 0.500 0.398
Cd1 0.211 0.500 0.023
Cd2 0.376 0.000 0.187
Cd3 0.386 0.000 0.581


[10]
# Ho2PuCd (PBE-GGA, optimized geometry)
# - energy of formation from the pure elements (meV per atom) = 219
# - N(E_F) (states/eV/f.u.) = 11.62
# - mass density (g/cm³) = 9.77
data_Ho2PuCd
_chemical_formula_sum 'Ho6 Pu3 Cd3'
_symmetry_space_group_name_H-M 'R -3 m'
_symmetry_Int_Tables_number 166
_symmetry_space_group_name_Hall '-R 3 2"'
_cell_length_a 3.3861
_cell_length_b 3.3861
_cell_length_c 35.2284
_cell_angle_alpha 90.00
_cell_angle_beta 90.00
_cell_angle_gamma 120.00
loop_
_atom_site_label
_atom_site_fract_x
_atom_site_fract_y
_atom_site_fract_z
Ho1 0.0000 0.0000 0.0935
Pu1 0.0000 0.0000 0.0000
Cd1 0.0000 0.0000 0.5000


[11]
# Na2RhBr (PBE-GGA, optimized geometry)
# - uncorrected formation energy (eV per atom) = 0.111
# - N(E_F) (states/eV/f.u.) = 4.40
# - mass density (g/cm³) = 4.23
data_Na2RhBr
_chemical_formula_sum 'Na8 Rh4 Br4'
_symmetry_space_group_name_H-M 'F m -3 m'
_symmetry_Int_Tables_number 225
_symmetry_space_group_name_Hall '-F 4 2 3'
_cell_length_a 7.106
_cell_length_b 7.106
_cell_length_c 7.106
_cell_angle_alpha 90.00
_cell_angle_beta 90.00
_cell_angle_gamma 90.00
loop_
_atom_site_label
_atom_site_fract_x
_atom_site_fract_y
_atom_site_fract_z
Na1 0.250 0.250 0.250
Rh1 0.000 0.000 0.000
Br1 0.000 0.000 0.500


[12]
# ScRe2As (PBE-GGA, optimized geometry)
# - energy of formation from the pure elements (meV per atom) = 459
# - N(E_F) (states/eV/f.u.) = 4.77
# - mass density (g/cm³) = 11.16
data_ScRe2As
_chemical_formula_sum 'Sc4 Re8 As4'
_symmetry_space_group_name_H-M 'I -4 2 d'
_symmetry_Int_Tables_number 122
_symmetry_space_group_name_Hall 'I -4 2bw'
_cell_length_a 7.640
_cell_length_b 7.640
_cell_length_c 5.020
_cell_angle_alpha 90.00
_cell_angle_beta 90.00
_cell_angle_gamma 90.00
loop_
_atom_site_label
_atom_site_fract_x
_atom_site_fract_y
_atom_site_fract_z
Sc1 0.000 0.000 0.000
Re1 0.180 0.250 0.625
As1 0.000 0.000 0.500